First-principles (GGA-PBE) data for an optimized crystal structure of UCrW2C4, as listed in Alexandria.

Results
ρ   12.743 g cm⁻³
Formation energy   -0.01 eV/atom
D(E_F)   0.806 states/eV/atom
Calculated total energy   -10.48 eV/atom
Magnetization   5.23 μB/cell

Geometry as CIF:
```
data_UCrW2C4
_cell_length_a 3.164
_cell_length_b 10.927
_cell_length_c 10.640
_cell_angle_alpha 90.00
_cell_angle_beta 90.00
_cell_angle_gamma 90.00
_space_group_name_H-M_alt 'C m c m'
_space_group_IT_number 63
_space_group_name_Hall '-C 2c 2'
loop_
_atom_site_label
_atom_site_type_symbol
_atom_site_fract_x
_atom_site_fract_y
_atom_site_fract_z
_atom_site_occupancy
U1 U 0.000 0.103 0.250 1
Cr1 Cr 0.000 0.160 0.750 1
W1 W 0.000 0.375 0.042 1
C1 C 0.000 0.000 0.000 1
C2 C 0.000 0.269 0.615 1
C3 C 0.000 0.441 0.250 1
```

=====

First-principles (GGA-PBE) data for an optimized crystal structure of Ca2B10W, as listed in Alexandria.

Results
ρ   4.325 g cm⁻³
Formation energy   -0.15 eV/atom
D(E_F)   0.304 states/eV/atom
Calculated total energy   -6.59 eV/atom
Magnetization   3.88 μB/cell

Geometry as CIF:
```
data_Ca2B10W
_cell_length_a 5.794
_cell_length_b 11.738
_cell_length_c 4.202
_cell_angle_alpha 90.00
_cell_angle_beta 90.00
_cell_angle_gamma 90.00
_space_group_name_H-M_alt 'P b a m'
_space_group_IT_number 55
_space_group_name_Hall '-P 2 2ab'
loop_
_atom_site_label
_atom_site_type_symbol
_atom_site_fract_x
_atom_site_fract_y
_atom_site_fract_z
_atom_site_occupancy
Ca1 Ca 0.191 0.146 0.000 1
B1 B 0.062 0.307 0.500 1
B2 B 0.114 0.954 0.500 1
B3 B 0.132 0.802 0.500 1
B4 B 0.225 0.379 0.199 1
W1 W 0.000 0.500 0.500 1
```

=====

First-principles (GGA-PBE) data for an optimized crystal structure of BaTi2Ni2, as listed in Alexandria.

Results
ρ   5.513 g cm⁻³
Formation energy   0.03 eV/atom
D(E_F)   1.305 states/eV/atom
Calculated total energy   -5.83 eV/atom
Magnetization   0.00 μB/cell

Geometry as CIF:
```
data_BaTi2Ni2
_cell_length_a 4.290
_cell_length_b 4.290
_cell_length_c 11.474
_cell_angle_alpha 90.00
_cell_angle_beta 90.00
_cell_angle_gamma 90.00
_space_group_name_H-M_alt 'I 4/m m m'
_space_group_IT_number 139
_space_group_name_Hall '-I 4 2'
loop_
_atom_site_label
_atom_site_type_symbol
_atom_site_fract_x
_atom_site_fract_y
_atom_site_fract_z
_atom_site_occupancy
Ba1 Ba 0.000 0.000 0.000 1
Ti1 Ti 0.000 0.500 0.250 1
Ni1 Ni 0.000 0.000 0.358 1
```

=====

First-principles (GGA-PBE) data for an optimized crystal structure of Ca2CuOs, as listed in Alexandria.

Results
ρ   6.569 g cm⁻³
Formation energy   0.37 eV/atom
D(E_F)   0.832 states/eV/atom
Calculated total energy   -4.47 eV/atom
Magnetization   0.00 μB/cell

Geometry as CIF:
```
data_Ca2CuOs
_cell_length_a 3.185
_cell_length_b 3.473
_cell_length_c 7.633
_cell_angle_alpha 90.00
_cell_angle_beta 90.09
_cell_angle_gamma 90.00
_space_group_name_H-M_alt 'P 1 2/m 1'
_space_group_IT_number 10
_space_group_name_Hall '-P 2y'
loop_
_atom_site_label
_atom_site_type_symbol
_atom_site_fract_x
_atom_site_fract_y
_atom_site_fract_z
_atom_site_occupancy
Ca1 Ca 0.000 0.000 0.236 1
Cu1 Cu 0.500 0.500 0.500 1
Os1 Os 0.500 0.500 0.000 1
```

=====

First-principles (GGA-PBE) data for an optimized crystal structure of Pu6AlGe2, as listed in Alexandria.

Results
ρ   13.200 g cm⁻³
Formation energy   -0.07 eV/atom
D(E_F)   2.930 states/eV/atom
Calculated total energy   -11.06 eV/atom
Magnetization   35.08 μB/cell

Geometry as CIF:
```
data_Pu6AlGe2
_cell_length_a 8.7247
_cell_length_b 8.7247
_cell_length_c 3.1224
_cell_angle_alpha 90.00
_cell_angle_beta 90.00
_cell_angle_gamma 120.00
_space_group_name_H-M_alt 'P 6/m m m'
_space_group_IT_number 191
_space_group_name_Hall '-P 6 2'
loop_
_atom_site_label
_atom_site_type_symbol
_atom_site_fract_x
_atom_site_fract_y
_atom_site_fract_z
_atom_site_occupancy
Pu1 Pu 0.0000 0.3352 0.0000 1
Al1 Al 0.0000 0.0000 0.5000 1
Ge1 Ge 0.3333 0.6667 0.5000 1
```

=====

First-principles (GGA-PBE) data for an optimized crystal structure of FeAs, as listed in Alexandria.

Results
ρ   6.712 g cm⁻³
Formation energy   0.00 eV/atom
D(E_F)   1.096 states/eV/atom
Calculated total energy   -6.55 eV/atom
Magnetization   4.74 μB/cell

Geometry as CIF:
```
data_FeAs
_cell_length_a 3.073
_cell_length_b 3.073
_cell_length_c 6.852
_cell_angle_alpha 90.00
_cell_angle_beta 90.00
_cell_angle_gamma 90.00
_space_group_name_H-M_alt 'P 4/n m m'
_space_group_IT_number 129
loop_
_space_group_symop_operation_xyz
'x,y,z'
'-x,-y,-z'
'-y+1/2,x,z'
'y+1/2,-x,-z'
'-x+1/2,-y+1/2,z'
'x+1/2,y+1/2,-z'
'y,-x+1/2,z'
'-y,x+1/2,-z'
'x+1/2,-y,-z'
'-x+1/2,y,z'
'-y,-x,-z'
'y,x,z'
'-x,y+1/2,-z'
'x,-y+1/2,z'
'y+1/2,x+1/2,-z'
'-y+1/2,-x+1/2,z'
loop_
_atom_site_label
_atom_site_type_symbol
_atom_site_fract_x
_atom_site_fract_y
_atom_site_fract_z
_atom_site_occupancy
Fe1 Fe 0.250 0.250 0.097 1
As1 As 0.250 0.250 0.715 1
```

=====

Q: Which value of ρ does entry 1 give?
A: 12.743 g cm⁻³

=====

Q: Which of these has the lowest ρ?
A: Ca2B10W